Entry from Alexandria via LeMat-Bulk: a relaxed MnCd2NiO4 crystal (PBE with a Hubbard U).

Unit cell a=5.979 b=5.928 c=4.989 alpha=65.77 beta=64.69 gamma=49.54
Element x y z (fractional)
Mn 0.000 0.000 0.000
Cd 0.247 0.247 0.253
Cd 0.747 0.747 0.753
Ni 0.493 0.493 0.507
O 0.145 0.639 0.361
O 0.371 0.848 0.629
O 0.639 0.145 0.855
O 0.848 0.371 0.152

Summary:
Final energy in eV/atom: -5.057
Calculated density in g cm⁻³: 5.601